An optimized crystal structure of CeTcAs4. Source: Alexandria, functional PBE-GGA.

Lattice parameters (Å, degrees): 6.133 6.673 6.793 90.00 72.17 90.00
Each line ends with the local moment (μB).
Positions (direct):
Ce 0.000 0.000 0.000  0.45
Ce 0.500 0.500 0.000  0.45
Tc 0.500 0.000 0.500  0.04
Tc 0.000 0.500 0.500  0.04
As 0.966 0.599 0.157  -0.01
As 0.534 0.099 0.843  -0.01
As 0.390 0.358 0.453  0.00
As 0.110 0.858 0.547  0.00
As 0.034 0.401 0.843  -0.01
As 0.466 0.901 0.157  -0.01
As 0.610 0.642 0.547  0.00
As 0.890 0.142 0.453  0.00

Values from the calculation:
ΔH_f (0 K) in eV/atom: -0.328
Calculated volume in A^3/atom: 22.1
Space group: P2_1/c, No. 14

=====

An optimized crystal structure of Ba2ScZn2. Source: Alexandria, functional PBE-GGA.

Lattice parameters (Å, degrees): 9.347 9.347 3.715 90.00 90.00 90.00
Positions (direct):
Sc 0.000 0.000 0.000
Sc 0.500 0.500 0.000
Zn 0.148 0.648 0.500
Zn 0.648 0.852 0.500
Zn 0.852 0.352 0.500
Zn 0.352 0.148 0.500
Ba 0.352 0.852 0.000
Ba 0.852 0.648 0.000
Ba 0.648 0.148 0.000
Ba 0.148 0.352 0.000

Values from the calculation:
ΔH_f (0 K) in eV/atom: 0.228
Calculated volume in A^3/atom: 32.5
Space group: P4/mbm, No. 127

=====

An optimized crystal structure of Li4HoP2. Source: Alexandria, functional PBE-GGA.

Lattice parameters (Å, degrees): 3.989 7.405 7.405 90.00 90.00 90.00
Each line ends with the local moment (μB).
Positions (direct):
Li 0.000 0.098 0.336  0.01
Li 0.000 0.902 0.664  0.01
Li 0.500 0.164 0.598  0.01
Li 0.500 0.836 0.402  0.01
Li 0.500 0.402 0.836  0.01
Li 0.500 0.598 0.164  0.01
Li 0.000 0.336 0.098  0.01
Li 0.000 0.664 0.902  0.01
Ho 0.500 0.000 0.000  0.09
Ho 0.000 0.500 0.500  0.09
P 0.000 0.209 0.791  -0.01
P 0.000 0.791 0.209  -0.01
P 0.500 0.709 0.709  -0.01
P 0.500 0.291 0.291  -0.01

Values from the calculation:
ΔH_f (0 K) in eV/atom: -0.807
Calculated volume in A^3/atom: 15.6
Space group: P4_2/mnm, No. 136

=====

An optimized crystal structure of CuBBr2. Source: Alexandria, functional PBE-GGA.

Lattice parameters (Å, degrees): 5.982 5.982 7.131 65.20 65.20 90.00
Positions (direct):
B 0.500 0.500 0.000
B 0.250 0.750 0.500
Cu 0.000 0.000 0.000
Cu 0.750 0.250 0.500
Br 0.651 0.125 0.250
Br 0.099 0.625 0.250
Br 0.375 0.349 0.750
Br 0.875 0.901 0.750

Values from the calculation:
Raw total energy in eV/atom: -2.808
Calculated volume in A^3/atom: 25.7
Space group: I-42d, No. 122

=====

Number 1: total moment 0.5 μB per formula unit. Number 2: total moment 0.0 μB per formula unit. Number 3: total moment 0.3 μB per formula unit. Number 4: total moment 0.0 μB per formula unit.